# 1
Entry from the Alexandria database: K2LiCa after structural relaxation (PBE-GGA).

Geometry as POSCAR:
```
K2LiCa
1.0
4.2841 -4.6408 -1.9571
1.1581 -5.2593 3.8365
-2.1923 -5.9668 -1.8198
Ca K Li
1 2 1
direct
0.5000 0.5000 0.5000 Ca
0.2500 0.2500 0.2500 K
0.7500 0.7500 0.7500 K
0.0000 0.0000 0.0000 Li
```

Output
Fermi-level density of states   3.61 states/eV/cell
Energy above the lowest structure with this stoichiometry   0.59 eV/f.u.
ΔH_f (0 K)   255 meV per atom
Size of the total moment   0.0 Bohr magnetons per cell
Space-group type   Fm-3m


# 2
Entry from the Alexandria database: Pr3YTm7 after structural relaxation (PBE-GGA).

Geometry as POSCAR:
```
Pr3YTm7
1.0
6.6634 0.4386 -0.0708
0.8609 8.4509 1.0640
-0.5162 0.2095 6.4646
Pr Y Tm
3 1 7
direct
0.0615 0.8359 0.1989 Pr
0.5000 0.0000 0.0000 Pr
0.9385 0.1641 0.8011 Pr
0.5000 0.5000 0.5000 Y
0.7762 0.2135 0.2791 Tm
0.7083 0.8547 0.5622 Tm
0.2671 0.4202 0.0122 Tm
0.7329 0.5798 0.9878 Tm
0.0000 0.5000 0.5000 Tm
0.2917 0.1453 0.4378 Tm
0.2238 0.7865 0.7209 Tm
```

Output
Fermi-level density of states   17.52 states/eV/cell
Energy above the lowest structure with this stoichiometry   0.00 eV/f.u.
ΔH_f (0 K)   124 meV per atom
Size of the total moment   0.0 Bohr magnetons per cell
Space-group type   P-1


# 3
Entry from the Alexandria database: MgTlHg after structural relaxation (PBE-GGA).

Geometry as POSCAR:
```
MgTlHg
1.0
6.1268 1.5381 0.7282
4.3123 4.4810 1.0877
1.6763 2.0756 7.6830
Mg Tl Hg
2 2 2
direct
0.1703 0.2417 0.3581 Mg
0.2107 0.8055 0.8333 Mg
0.5258 0.9715 0.9932 Tl
0.8547 0.0763 0.1978 Tl
0.5444 0.4189 0.5407 Hg
0.8363 0.6283 0.6503 Hg
```

Output
Fermi-level density of states   1.81 states/eV/cell
Energy above the lowest structure with this stoichiometry   0.01 eV/f.u.
ΔH_f (0 K)   -66 meV per atom
Size of the total moment   0.0 Bohr magnetons per cell
Space-group type   P-1


# 4
Entry from the Alexandria database: Pr4Ge2Au after structural relaxation (PBE-GGA).

Geometry as POSCAR:
```
Pr4Ge2Au
1.0
-1.3544 3.4713 3.4449
-2.3145 -1.4411 4.2799
7.0046 -0.2267 6.7200
Pr Ge Au
4 2 1
direct
0.3789 0.3789 0.8633 Pr
0.2054 0.2054 0.3837 Pr
0.7946 0.7946 0.6163 Pr
0.6211 0.6211 0.1367 Pr
0.0936 0.0936 0.7191 Ge
0.9064 0.9064 0.2809 Ge
0.0000 0.0000 0.0000 Au
```

Output
Fermi-level density of states   8.18 states/eV/cell
ΔH_f (0 K)   -532 meV per atom
Size of the total moment   0.0 Bohr magnetons per cell
Space-group type   R-3m


# 5
Entry from the Alexandria database: RePtN after structural relaxation (PBE-GGA).

Geometry as POSCAR:
```
RePtN
1.0
2.7950 0.0060 0.0014
1.3920 2.4235 0.0061
1.3890 0.7952 5.6458
Re Pt N
1 1 1
direct
0.2264 0.4123 0.4979 Re
0.7559 0.9419 0.9069 Pt
0.6337 0.8196 0.2739 N
```

Output
Fermi-level density of states   2.28 states/eV/cell
Energy above the lowest structure with this stoichiometry   0.13 eV/f.u.
Size of the total moment   0.0 Bohr magnetons per cell
Space-group type   R3m
ΔE_f (raw)   5 kJ per mole of atoms


# 6
Entry from the Alexandria database: SiBiP2O8 after structural relaxation (PBE-GGA).

Geometry as POSCAR:
```
SiBiP2O8
1.0
-2.2852 4.0038 1.0759
-1.5369 0.3864 4.4608
6.7423 3.0906 1.8124
Si Bi P O
1 1 2 8
direct
0.0000 0.0000 0.0000 Si
0.0000 0.0000 0.5000 Bi
0.6574 0.6574 0.1926 P
0.3426 0.3426 0.8074 P
0.7087 0.2040 0.8325 O
0.7904 0.7904 0.0542 O
0.7257 0.7257 0.3816 O
0.2743 0.2743 0.6184 O
0.2096 0.2096 0.9458 O
0.2040 0.7087 0.8325 O
0.7960 0.2913 0.1675 O
0.2913 0.7960 0.1675 O
```

Output
Fermi-level density of states   0.98 states/eV/cell
Size of the total moment   1.0 Bohr magnetons per cell
Space-group type   C2/m
ΔE_f (raw)   -195 kJ per mole of atoms


# 7
Entry from the Alexandria database: HfV2TcN after structural relaxation (PBE-GGA).

Geometry as POSCAR:
```
HfV2TcN
1.0
-3.3837 -3.1495 -1.1306
1.1890 0.0084 -3.5820
2.9916 -3.5676 0.9847
N Hf Tc V
1 1 1 2
direct
0.0000 0.5000 0.0000 N
0.5000 0.5000 0.5000 Hf
0.0000 0.0000 0.0000 Tc
0.0000 0.0000 0.5000 V
0.5000 0.0000 0.0000 V
```

Output
Fermi-level density of states   5.29 states/eV/cell
Size of the total moment   1.9 Bohr magnetons per cell
Space-group type   P4/mmm
ΔE_f (raw)   90 kJ per mole of atoms


# 8
Entry from the Alexandria database: Tb2U2Ru5 after structural relaxation (PBE-GGA).

Geometry as POSCAR:
```
Tb2U2Ru5
1.0
7.9898 0.0000 0.0000
0.0000 6.3743 -3.3410
0.0000 -0.2941 7.1908
Tb U Ru
4 4 10
direct
0.0000 0.7758 0.2242 Tb
0.5000 0.2758 0.7242 Tb
0.0000 0.2242 0.7758 Tb
0.5000 0.7242 0.2758 Tb
0.3755 0.1252 0.1252 U
0.6245 0.8748 0.8748 U
0.8755 0.3748 0.3748 U
0.1245 0.6252 0.6252 U
0.0000 0.0000 0.0000 Ru
0.5000 0.5000 0.5000 Ru
0.1943 0.1942 0.4319 Ru
0.8057 0.5681 0.8058 Ru
0.6943 0.0681 0.3058 Ru
0.3057 0.6942 0.9319 Ru
0.8057 0.8058 0.5681 Ru
0.1943 0.4319 0.1942 Ru
0.3057 0.9319 0.6942 Ru
0.6943 0.3058 0.0681 Ru
```

Output
Fermi-level density of states   19.29 states/eV/cell
ΔH_f (0 K)   -118 meV per atom
Size of the total moment   0.0 Bohr magnetons per cell
Space-group type   Cmce


# 9
Entry from the Alexandria database: Cs3UBr6 after structural relaxation (PBE-GGA).

Geometry as POSCAR:
```
Cs3UBr6
1.0
-2.0099 8.0824 3.1912
-5.2272 4.9426 -4.6538
-8.0091 1.3328 2.7369
Cs U Br
3 1 6
direct
0.2774 0.2432 0.2432 Cs
0.7226 0.7568 0.7568 Cs
0.0000 0.0000 0.0000 Cs
0.5000 0.5000 0.5000 U
0.3514 0.1939 0.6653 Br
0.6486 0.3347 0.8061 Br
0.6486 0.8061 0.3347 Br
0.3514 0.6653 0.1939 Br
0.1708 0.7137 0.7137 Br
0.8292 0.2863 0.2863 Br
```

Output
Energy above the lowest structure with this stoichiometry   0.09 eV/f.u.
Size of the total moment   3.0 Bohr magnetons per cell
Space-group type   C2/m
ΔE_f (raw)   -156 kJ per mole of atoms


# 10
Entry from the Alexandria database: Sr2MgIn6Pt after structural relaxation (PBE-GGA).

Geometry as POSCAR:
```
Sr2MgIn6Pt
1.0
10.4414 -0.0145 0.1192
0.0052 6.0378 0.0089
5.1131 3.0394 4.4245
Sr Mg In Pt
2 1 6 1
direct
0.2339 0.7412 0.5139 Sr
0.7661 0.2588 0.4861 Sr
0.5000 0.5000 0.0000 Mg
0.2942 0.8125 0.8828 In
0.7021 0.6951 0.1195 In
0.0775 0.2432 0.5106 In
0.7058 0.1875 0.1172 In
0.2979 0.3049 0.8805 In
0.9225 0.7568 0.4894 In
0.0000 0.0000 0.0000 Pt
```

Output
Fermi-level density of states   3.87 states/eV/cell
ΔH_f (0 K)   -294 meV per atom
Size of the total moment   0.0 Bohr magnetons per cell
Space-group type   P-1


# 11
Entry from the Alexandria database: CeHo2ScS4 after structural relaxation (PBE-GGA).

Geometry as POSCAR:
```
CeHo2ScS4
1.0
-0.8041 -3.5569 -1.2699
2.6946 -2.6092 5.6021
-6.5412 1.1194 1.0064
Ce Ho Sc S
1 2 1 4
direct
0.5000 0.5000 0.0000 Ce
0.5000 0.0000 0.5000 Ho
0.0000 0.5000 0.5000 Ho
0.0000 0.0000 0.0000 Sc
0.5000 0.2376 0.2450 S
0.5000 0.7624 0.7550 S
0.0000 0.2375 0.7463 S
0.0000 0.7625 0.2537 S
```

Output
Fermi-level density of states   7.52 states/eV/cell
Size of the total moment   0.6 Bohr magnetons per cell
Space-group type   P2/m
ΔE_f (raw)   -188 kJ per mole of atoms


# 12
Entry from the Alexandria database: Ta2ReRu after structural relaxation (PBE-GGA).

Geometry as POSCAR:
```
Ta2ReRu
1.0
4.4865 0.0063 0.0000
-0.0078 4.4865 0.0000
0.0000 0.0000 3.2234
Re Ru Ta
1 1 2
direct
0.5000 0.0000 0.5000 Re
0.0000 0.5000 0.5000 Ru
0.0000 0.0000 0.0000 Ta
0.5000 0.5000 0.0000 Ta
```

Output
Fermi-level density of states   2.57 states/eV/cell
ΔH_f (0 K)   -374 meV per atom
Size of the total moment   0.0 Bohr magnetons per cell
Space-group type   P4/mmm


# 13
Entry from the Alexandria database: LaTa2Ag after structural relaxation (PBE-GGA).

Geometry as POSCAR:
```
LaTa2Ag
1.0
3.0087 -0.0433 0.0000
-1.0350 2.8254 0.0000
0.0000 0.0000 10.1238
La Ag Ta
1 1 2
direct
0.5000 0.5000 0.7523 La
0.0000 0.0000 0.4721 Ag
0.0000 0.0000 0.0333 Ta
0.5000 0.5000 0.2423 Ta
```

Output
Fermi-level density of states   3.73 states/eV/cell
Energy above the lowest structure with this stoichiometry   0.09 eV/f.u.
ΔH_f (0 K)   281 meV per atom
Size of the total moment   0.0 Bohr magnetons per cell
Space-group type   Cmm2


# 14
Entry from the Alexandria database: Co3PbS after structural relaxation (PBE-GGA).

Geometry as POSCAR:
```
Co3PbS
1.0
-4.0913 1.8366 -1.7803
-2.5572 -3.0102 2.7713
-0.0558 3.2934 3.5258
Pb S Co
1 1 3
direct
0.0000 0.0000 0.0000 Pb
0.5000 0.5000 0.5000 S
0.0000 0.5000 0.0000 Co
0.0000 0.0000 0.5000 Co
0.5000 0.0000 0.0000 Co
```

Output
Fermi-level density of states   11.87 states/eV/cell
Energy above the lowest structure with this stoichiometry   7.78 eV/f.u.
Size of the total moment   4.2 Bohr magnetons per cell
Space-group type   Pm-3m
ΔE_f (raw)   172 kJ per mole of atoms


# 15
Entry from the Alexandria database: La2Ga10Cu after structural relaxation (PBE-GGA).

Geometry as POSCAR:
```
La2Ga10Cu
1.0
-5.4251 -0.0668 -1.9534
2.1006 -1.6907 -5.6003
4.5627 -14.1315 5.8851
La Ga Cu
4 20 2
direct
0.4736 0.3449 0.8571 La
0.5264 0.6551 0.1429 La
0.5202 0.8479 0.6438 La
0.4798 0.1521 0.3562 La
0.1456 0.1317 0.4782 Ga
0.8544 0.8683 0.5218 Ga
0.8594 0.6275 0.0228 Ga
0.1406 0.3725 0.9772 Ga
0.0987 0.0425 0.7016 Ga
0.9013 0.9575 0.2984 Ga
0.3794 0.1631 0.1440 Ga
0.2708 0.7895 0.9309 Ga
0.6248 0.6602 0.3546 Ga
0.7209 0.2876 0.5671 Ga
0.6206 0.8369 0.8560 Ga
0.7292 0.2105 0.0691 Ga
0.3752 0.3398 0.6454 Ga
0.2791 0.7124 0.4329 Ga
0.0619 0.8964 0.1696 Ga
0.9381 0.1036 0.8304 Ga
0.9466 0.3975 0.3308 Ga
0.0534 0.6025 0.6692 Ga
0.1083 0.4578 0.2026 Ga
0.8917 0.5422 0.7974 Ga
0.0000 0.5000 0.5000 Cu
0.0000 0.0000 0.0000 Cu
```

Output
Fermi-level density of states   11.35 states/eV/cell
ΔH_f (0 K)   -316 meV per atom
Size of the total moment   0.0 Bohr magnetons per cell
Space-group type   P-1


# 16
Entry from the Alexandria database: CeSnBi after structural relaxation (PBE-GGA).

Geometry as POSCAR:
```
CeSnBi
1.0
-1.0646 4.5095 0.6152
-4.5297 -0.9884 -0.5934
2.0266 -3.0344 7.9940
Ce Sn Bi
2 2 2
direct
0.3623 0.3623 0.7246 Ce
0.6377 0.6377 0.2754 Ce
0.0000 0.5000 0.0000 Sn
0.5000 0.0000 0.0000 Sn
0.1611 0.1611 0.3222 Bi
0.8389 0.8389 0.6778 Bi
```

Output
Fermi-level density of states   9.74 states/eV/cell
Energy above the lowest structure with this stoichiometry   0.05 eV/f.u.
ΔH_f (0 K)   -578 meV per atom
Size of the total moment   0.9 Bohr magnetons per cell
Space-group type   I4/mmm


# 17
Entry from the Alexandria database: Nb3VB after structural relaxation (PBE-GGA).

Geometry as POSCAR:
```
Nb3VB
1.0
4.5539 0.0000 0.0000
0.0000 4.5539 0.0000
0.0000 0.0000 4.5539
Nb B V
3 1 1
direct
0.0000 0.5000 0.0000 Nb
0.0000 0.0000 0.5000 Nb
0.5000 0.0000 0.0000 Nb
0.5000 0.5000 0.5000 B
0.0000 0.0000 0.0000 V
```

Output
Fermi-level density of states   3.65 states/eV/cell
Energy above the lowest structure with this stoichiometry   7.35 eV/f.u.
ΔH_f (0 K)   1678 meV per atom
Size of the total moment   0.0 Bohr magnetons per cell
Space-group type   Pm-3m


# 18
Entry from the Alexandria database: Cs3DyI8 after structural relaxation (PBE-GGA).

Geometry as POSCAR:
```
Cs3DyI8
1.0
-1.3151 8.4920 0.9816
0.0763 -0.9814 8.5930
9.2945 -2.4206 -4.7118
Cs Dy I
3 1 8
direct
0.7500 0.2500 0.5000 Cs
0.5000 0.5000 0.0000 Cs
0.2500 0.7500 0.5000 Cs
0.0000 0.0000 0.0000 Dy
0.3223 0.3223 0.2147 I
0.3223 0.8924 0.2147 I
0.1076 0.6777 0.7853 I
0.1076 0.1076 0.7853 I
0.8924 0.8924 0.2147 I
0.8924 0.3223 0.2147 I
0.6777 0.1076 0.7853 I
0.6777 0.6777 0.7853 I
```

Output
Fermi-level density of states   17.58 states/eV/cell
Size of the total moment   0.0 Bohr magnetons per cell
Space-group type   I4/mmm
ΔE_f (raw)   -104 kJ per mole of atoms


no.,total DFT energy (no corrections) (eV per atom)
1,-1.273
2,-4.612
3,-1.487
4,-5.050
5,-8.886
6,-7.000
7,-8.441
8,-8.809
9,-4.008
10,-3.037
11,-6.687
12,-11.732
13,-7.590
14,-4.045
15,-3.718
16,-5.184
17,-7.523
18,-2.707